[1]
The following is a PBE-GGA calculation of a relaxed structure of Tl2NiMo, from Alexandria via LeMat-Bulk. Values from VASP.

Quantum ESPRESSO input file:
```
&SYSTEM
  ibrav = 0, nat = 4, ntyp = 3
/
ATOMIC_SPECIES
Ni 58.69 Ni.upf
Tl 204.38 Tl.upf
Mo 95.94 Mo.upf
CELL_PARAMETERS angstrom
-1.312 1.470 -2.301
-2.711 -1.005 0.904
-0.947 7.146 5.104
ATOMIC_POSITIONS crystal
Ni 0.500 0.500 0.708
Tl 0.000 0.000 0.947
Mo 0.000 0.000 0.550
Tl 0.500 0.500 0.295
```

Output
Relative energy among the computed polymorphs in meV per atom: 22
Energy of formation from the pure elements in meV/atom: 452
Crystal system: tetragonal
V in Å³ per cell: 81
Theoretical density in g cm⁻³: 11.5

=====

[2]
The following is a PBE-GGA calculation of a relaxed structure of LiNd2Zn3, from Alexandria via LeMat-Bulk. Values from VASP.

Quantum ESPRESSO input file:
```
&SYSTEM
  ibrav = 0, nat = 12, ntyp = 3
/
ATOMIC_SPECIES
Zn 65.41 Zn.upf
Nd 144.24 Nd.upf
Li 6.94 Li.upf
CELL_PARAMETERS angstrom
-1.680 -4.709 2.991
5.562 -0.652 -1.607
0.486 6.235 6.266
ATOMIC_POSITIONS crystal
Zn 0.166 0.668 0.834
Zn 0.332 0.834 0.166
Zn 0.834 0.332 0.166
Zn 0.166 0.166 0.332
Nd 0.750 0.250 0.500
Li 0.333 0.333 0.666
Nd 0.250 0.750 0.500
Li 0.667 0.667 0.334
Nd 0.248 0.248 0.000
Zn 0.834 0.834 0.668
Nd 0.752 0.752 0.000
Zn 0.668 0.166 0.834
```

Output
Energy of formation from the pure elements in meV/atom: -242
Crystal system: orthorhombic
V in Å³ per cell: 262
Theoretical density in g cm⁻³: 6.2

=====

[3]
The following is a PBE-GGA calculation of a relaxed structure of Al4Fe3Os, from Alexandria via LeMat-Bulk. Values from VASP.

Quantum ESPRESSO input file:
```
&SYSTEM
  ibrav = 0, nat = 8, ntyp = 3
/
ATOMIC_SPECIES
Al 26.98 Al.upf
Fe 55.84 Fe.upf
Os 190.23 Os.upf
CELL_PARAMETERS angstrom
2.932 0.000 0.000
0.000 2.932 0.000
0.000 0.000 11.569
ATOMIC_POSITIONS crystal
Al 0.000 0.000 0.134
Fe 0.500 0.500 0.742
Al 0.000 0.000 0.621
Fe 0.500 0.500 0.500
Al 0.000 0.000 0.379
Os 0.500 0.500 0.000
Al 0.000 0.000 0.866
Fe 0.500 0.500 0.258
```

Output
Energy of formation from the pure elements in meV/atom: -325
Crystal system: tetragonal
V in Å³ per cell: 99
Theoretical density in g cm⁻³: 7.8

=====

[4]
The following is a PBE-GGA calculation of a relaxed structure of K3BaOs2O9, from Alexandria via LeMat-Bulk. Values from VASP.

Quantum ESPRESSO input file:
```
&SYSTEM
  ibrav = 0, nat = 15, ntyp = 4
/
ATOMIC_SPECIES
K 39.10 K.upf
O 16.00 O.upf
Os 190.23 Os.upf
Ba 137.33 Ba.upf
CELL_PARAMETERS angstrom
5.803 0.000 0.000
-2.901 5.025 0.000
0.000 0.000 8.080
ATOMIC_POSITIONS crystal
K 0.333 0.667 0.723
O 0.000 0.500 0.000
O 0.818 0.637 0.729
O 0.818 0.182 0.729
Os 0.333 0.667 0.141
O 0.637 0.818 0.271
K 0.667 0.333 0.277
O 0.182 0.363 0.271
Os 0.667 0.333 0.859
O 0.500 0.500 0.000
O 0.500 0.000 0.000
Ba 0.000 0.000 0.500
K 0.000 0.000 0.000
O 0.363 0.182 0.729
O 0.182 0.818 0.271
```

Output
Formation energy without anion corrections in meV/atom: -1500
Crystal system: trigonal
V in Å³ per cell: 236
Theoretical density in g cm⁻³: 5.5

=====

[5]
The following is a PBE-GGA calculation of a relaxed structure of NiTe3Cl, from Alexandria via LeMat-Bulk. Values from VASP.

Quantum ESPRESSO input file:
```
&SYSTEM
  ibrav = 0, nat = 20, ntyp = 3
/
ATOMIC_SPECIES
Te 127.60 Te.upf
Cl 35.45 Cl.upf
Ni 58.69 Ni.upf
CELL_PARAMETERS angstrom
6.851 -0.071 -0.088
-0.088 9.588 -1.470
-0.088 -3.482 9.053
ATOMIC_POSITIONS crystal
Te 0.924 0.188 0.076
Te 0.064 0.039 0.698
Cl 0.963 0.744 0.563
Cl 0.463 0.563 0.744
Te 0.424 0.076 0.188
Te 0.936 0.961 0.302
Ni 0.750 0.168 0.832
Te 0.564 0.698 0.039
Te 0.076 0.812 0.924
Ni 0.250 0.059 0.941
Ni 0.250 0.832 0.168
Te 0.953 0.403 0.838
Te 0.047 0.597 0.162
Te 0.576 0.924 0.812
Ni 0.750 0.941 0.059
Te 0.547 0.162 0.597
Cl 0.037 0.256 0.437
Cl 0.537 0.437 0.256
Te 0.453 0.838 0.403
Te 0.436 0.302 0.961
```

Output
Formation energy without anion corrections in meV/atom: -229
Relative energy among the computed polymorphs in meV per atom: 0
Crystal system: monoclinic
V in Å³ per cell: 559
Theoretical density in g cm⁻³: 5.7

=====

[6]
The following is a PBE-GGA calculation of a relaxed structure of Tb6Te3Ir2Se, from Alexandria via LeMat-Bulk. Values from VASP.

Quantum ESPRESSO input file:
```
&SYSTEM
  ibrav = 0, nat = 12, ntyp = 4
/
ATOMIC_SPECIES
Tb 158.93 Tb.upf
Se 78.96 Se.upf
Ir 192.22 Ir.upf
Te 127.60 Te.upf
CELL_PARAMETERS angstrom
-1.827 -3.143 -2.039
-0.771 -4.409 7.485
-6.956 6.716 0.141
ATOMIC_POSITIONS crystal
Tb 0.675 0.566 0.350
Se 0.500 0.000 0.000
Ir 0.831 0.657 0.662
Tb 0.331 0.870 0.663
Te 0.841 0.155 0.682
Te 0.500 0.500 0.000
Tb 0.017 0.248 0.035
Ir 0.169 0.343 0.338
Tb 0.325 0.434 0.650
Tb 0.983 0.752 0.965
Tb 0.669 0.130 0.337
Te 0.159 0.845 0.318
```

Output
Formation energy without anion corrections in meV/atom: -1266
Crystal system: monoclinic
V in Å³ per cell: 329
Theoretical density in g cm⁻³: 9.1

=====

[7]
The following is a PBE-GGA calculation of a relaxed structure of Ca2PmAg2, from Alexandria via LeMat-Bulk. Values from VASP.

Quantum ESPRESSO input file:
```
&SYSTEM
  ibrav = 0, nat = 10, ntyp = 3
/
ATOMIC_SPECIES
Ca 40.08 Ca.upf
Pm 145.00 Pm.upf
Ag 107.87 Ag.upf
CELL_PARAMETERS angstrom
3.679 0.000 -0.492
0.000 5.372 0.000
0.046 0.000 14.290
ATOMIC_POSITIONS crystal
Ca 0.775 0.250 0.550
Ca 0.956 0.250 0.910
Pm 0.140 0.250 0.280
Pm 0.860 0.750 0.720
Ag 0.450 0.750 0.899
Ag 0.550 0.250 0.101
Ca 0.044 0.750 0.090
Ca 0.225 0.750 0.450
Ag 0.634 0.750 0.270
Ag 0.366 0.250 0.730
```

Output
Relative energy among the computed polymorphs in meV per atom: 0
Energy of formation from the pure elements in meV/atom: -197
Crystal system: monoclinic
V in Å³ per cell: 283
Theoretical density in g cm⁻³: 5.2

=====

[8]
The following is a PBE-GGA calculation of a relaxed structure of InNiSe2Br, from Alexandria via LeMat-Bulk. Values from VASP.

Quantum ESPRESSO input file:
```
&SYSTEM
  ibrav = 0, nat = 5, ntyp = 4
/
ATOMIC_SPECIES
Se 78.96 Se.upf
In 114.82 In.upf
Br 79.90 Br.upf
Ni 58.69 Ni.upf
CELL_PARAMETERS angstrom
-0.134 -3.302 -3.456
-0.212 -3.449 3.304
-5.105 0.263 -0.053
ATOMIC_POSITIONS crystal
Se 0.500 0.000 0.000
Se 0.000 0.500 0.000
In 0.500 0.500 0.500
Br 0.000 0.000 0.500
Ni 0.000 0.000 0.000
```

Output
Formation energy without anion corrections in meV/atom: 10
Relative energy among the computed polymorphs in meV per atom: 0
Crystal system: tetragonal
V in Å³ per cell: 117
Theoretical density in g cm⁻³: 5.8

=====

no.,calculated total energy (eV/atom),spin magnetization (μB per formula unit)
1,-4.8842,0.0
2,-2.7874,0.0
3,-6.7733,2.7
4,-6.3195,0.0
5,-3.6394,0.0
6,-6.1338,0.0
7,-3.0886,0.0
8,-3.4227,0.0